[1]
{
  "formula": "Rb2Ti3Cl10",
  "functional": "PBE",
  "state": "optimized geometry",
  "cell": [[11.806, -3.608, 0.000], [11.806, 3.608, 0.000], [-3.752, 0.000, 9.201]],
  "species": ["Rb", "Rb", "Rb", "Rb", "Ti", "Ti", "Ti", "Ti", "Ti", "Ti", "Cl", "Cl", "Cl", "Cl", "Cl", "Cl", "Cl", "Cl", "Cl", "Cl", "Cl", "Cl", "Cl", "Cl", "Cl", "Cl", "Cl", "Cl", "Cl", "Cl"],
  "fractional_positions": [[0.121, 0.121, 0.236], [0.225, 0.225, 0.815], [0.775, 0.775, 0.185], [0.879, 0.879, 0.764], [0.261, 0.739, 0.500], [0.321, 0.321, 0.480], [0.422, 0.422, 0.018], [0.578, 0.578, 0.982], [0.679, 0.679, 0.520], [0.739, 0.261, 0.500], [0.000, 0.500, 0.500], [0.019, 0.019, 0.674], [0.116, 0.603, 0.033], [0.146, 0.636, 0.471], [0.269, 0.269, 0.228], [0.276, 0.724, 0.000], [0.364, 0.854, 0.529], [0.370, 0.370, 0.750], [0.397, 0.884, 0.967], [0.477, 0.477, 0.303], [0.500, 0.000, 0.500], [0.523, 0.523, 0.697], [0.603, 0.116, 0.033], [0.630, 0.630, 0.250], [0.636, 0.146, 0.471], [0.724, 0.276, 0.000], [0.731, 0.731, 0.772], [0.854, 0.364, 0.529], [0.884, 0.397, 0.967], [0.981, 0.981, 0.326]],
  "m_tot_mub_per_fu": 4.00,
  "dft_energy_ev_per_atom": -4.60,
  "formation_energy_uncorrected_mev_per_atom": -1656,
  "sg": "No. 12",
  "n_ef_per_ev_cell": 18.887
}

[2]
{
  "formula": "GaSiPd2",
  "functional": "PBE",
  "state": "optimized geometry",
  "cell": [[3.024, 0.000, 0.000], [0.000, 3.024, 0.000], [0.000, 0.000, 6.434]],
  "species": ["Ga", "Si", "Pd", "Pd"],
  "fractional_positions": [[0.000, 0.000, 0.000], [0.000, 0.000, 0.500], [0.500, 0.500, 0.268], [0.500, 0.500, 0.732]],
  "m_tot_mub_per_fu": 0.00,
  "dft_energy_ev_per_atom": -5.14,
  "formation_energy_uncorrected_mev_per_atom": -433,
  "sg": "No. 123",
  "n_ef_per_ev_cell": 1.103
}

[3]
{
  "formula": "Co3AsBr",
  "functional": "PBE",
  "state": "optimized geometry",
  "cell": [[4.582, 0.000, 0.000], [0.000, 4.582, 0.000], [0.000, 0.000, 4.582]],
  "species": ["Co", "Co", "Co", "As", "Br"],
  "fractional_positions": [[0.000, 0.000, 0.500], [0.000, 0.500, 0.000], [0.500, 0.000, 0.000], [0.000, 0.000, 0.000], [0.500, 0.500, 0.500]],
  "m_tot_mub_per_fu": 6.83,
  "dft_energy_ev_per_atom": -4.73,
  "formation_energy_uncorrected_mev_per_atom": 802,
  "sg": "No. 221",
  "relative_energy_mev_per_atom": 0,
  "n_ef_per_ev_cell": 10.945
}

[4]
{
  "formula": "SiPbW2",
  "functional": "PBE",
  "state": "optimized geometry",
  "cell": [[1.703, -2.401, 0.000], [1.703, 2.401, 0.000], [0.000, 0.000, 8.764]],
  "species": ["Si", "Pb", "W", "W"],
  "fractional_positions": [[0.000, 0.000, 0.000], [0.000, 0.000, 0.500], [0.500, 0.500, 0.207], [0.500, 0.500, 0.793]],
  "m_tot_mub_per_fu": 0.00,
  "dft_energy_ev_per_atom": -8.03,
  "formation_energy_uncorrected_mev_per_atom": 730,
  "sg": "No. 65",
  "relative_energy_mev_per_atom": 382,
  "n_ef_per_ev_cell": 3.306
}

[5]
{
  "formula": "Ac3PmHg6",
  "functional": "PBE",
  "state": "optimized geometry",
  "cell": [[0.000, 5.818, 5.818], [5.818, 0.000, 5.818], [5.818, 5.818, 0.000]],
  "species": ["Ac", "Ac", "Ac", "Pm", "Hg", "Hg", "Hg", "Hg", "Hg", "Hg"],
  "fractional_positions": [[0.000, 0.000, 0.000], [0.250, 0.250, 0.250], [0.750, 0.750, 0.750], [0.500, 0.500, 0.500], [0.256, 0.256, 0.744], [0.256, 0.744, 0.256], [0.256, 0.744, 0.744], [0.744, 0.256, 0.256], [0.744, 0.256, 0.744], [0.744, 0.744, 0.256]],
  "m_tot_mub_per_fu": 0.00,
  "dft_energy_ev_per_atom": -1.73,
  "sg": "No. 225",
  "relative_energy_mev_per_atom": 585,
  "n_ef_per_ev_cell": 10.378
}

[6]
{
  "formula": "ZrRe2P",
  "functional": "PBE",
  "state": "optimized geometry",
  "cell": [[1.482, 0.856, 8.422], [-1.482, 0.856, 8.422], [0.000, -1.712, 8.422]],
  "species": ["Zr", "Re", "Re", "P"],
  "fractional_positions": [[0.000, 0.000, 0.000], [0.236, 0.236, 0.236], [0.764, 0.764, 0.764], [0.500, 0.500, 0.500]],
  "m_tot_mub_per_fu": 0.00,
  "dft_energy_ev_per_atom": -9.60,
  "sg": "No. 166",
  "n_ef_per_ev_cell": 2.141
}

[7]
{
  "formula": "KTlRe",
  "functional": "PBE",
  "state": "optimized geometry",
  "cell": [[0.000, 2.340, 8.298], [1.741, 0.000, 8.298], [1.741, 2.340, 0.000]],
  "species": ["K", "Tl", "Re"],
  "fractional_positions": [[0.000, 0.000, 0.000], [0.315, 0.315, 0.685], [0.670, 0.670, 0.330]],
  "m_tot_mub_per_fu": 0.00,
  "dft_energy_ev_per_atom": -4.23,
  "sg": "No. 42",
  "relative_energy_mev_per_atom": 0,
  "n_ef_per_ev_cell": 1.451
}

[8]
{
  "formula": "TmCdAgPb",
  "functional": "PBE",
  "state": "optimized geometry",
  "cell": [[0.000, 3.624, 3.624], [3.624, 0.000, 3.624], [3.624, 3.624, 0.000]],
  "species": ["Tm", "Cd", "Ag", "Pb"],
  "fractional_positions": [[0.000, 0.000, 0.000], [0.500, 0.500, 0.500], [0.750, 0.750, 0.750], [0.250, 0.250, 0.250]],
  "m_tot_mub_per_fu": 0.00,
  "dft_energy_ev_per_atom": -3.16,
  "sg": "No. 216",
  "n_ef_per_ev_cell": 0.662
}

[9]
{
  "formula": "SrCaCSe2",
  "functional": "PBE",
  "state": "optimized geometry",
  "cell": [[5.228, 0.000, 0.000], [0.000, 5.228, 0.000], [0.000, 0.000, 4.373]],
  "species": ["Sr", "Ca", "C", "Se", "Se"],
  "fractional_positions": [[0.000, 0.000, 0.000], [0.500, 0.500, 0.000], [0.500, 0.500, 0.500], [0.000, 0.500, 0.500], [0.500, 0.000, 0.500]],
  "m_tot_mub_per_fu": 0.16,
  "dft_energy_ev_per_atom": -4.11,
  "formation_energy_uncorrected_mev_per_atom": -130,
  "sg": "No. 123",
  "n_ef_per_ev_cell": 2.317
}

[10]
{
  "formula": "Pr4Nd3Dy5",
  "functional": "PBE",
  "state": "optimized geometry",
  "cell": [[6.297, 0.000, 0.000], [-0.006, 7.261, 0.000], [-0.014, -0.014, 8.906]],
  "species": ["Pr", "Pr", "Pr", "Pr", "Nd", "Nd", "Nd", "Dy", "Dy", "Dy", "Dy", "Dy"],
  "fractional_positions": [[0.168, 0.248, 0.169], [0.331, 0.500, 0.830], [0.669, 0.500, 0.170], [0.832, 0.752, 0.831], [0.000, 0.000, 0.500], [0.169, 0.752, 0.169], [0.831, 0.248, 0.831], [0.000, 0.500, 0.500], [0.335, 0.000, 0.830], [0.500, 0.248, 0.500], [0.500, 0.752, 0.500], [0.665, 0.000, 0.170]],
  "m_tot_mub_per_fu": 0.00,
  "dft_energy_ev_per_atom": -4.69,
  "sg": "No. 2",
  "relative_energy_mev_per_atom": 0,
  "n_ef_per_ev_cell": 16.385
}

[11]
{
  "formula": "As3BrN",
  "functional": "PBE",
  "state": "optimized geometry",
  "cell": [[4.512, 0.000, 0.000], [0.000, 4.512, 0.000], [0.000, 0.000, 4.512]],
  "species": ["As", "As", "As", "Br", "N"],
  "fractional_positions": [[0.000, 0.000, 0.500], [0.000, 0.500, 0.000], [0.500, 0.000, 0.000], [0.500, 0.500, 0.500], [0.000, 0.000, 0.000]],
  "m_tot_mub_per_fu": 0.00,
  "dft_energy_ev_per_atom": -3.81,
  "formation_energy_uncorrected_mev_per_atom": 980,
  "sg": "No. 221",
  "relative_energy_mev_per_atom": 0,
  "n_ef_per_ev_cell": 5.212
}

[12]
{
  "formula": "CsPdBr2F",
  "functional": "PBE",
  "state": "optimized geometry",
  "cell": [[5.389, 0.000, 0.000], [0.000, 5.389, 0.000], [0.000, 0.000, 4.479]],
  "species": ["Cs", "Pd", "Br", "Br", "F"],
  "fractional_positions": [[0.000, 0.000, 0.000], [0.500, 0.500, 0.500], [0.000, 0.500, 0.500], [0.500, 0.000, 0.500], [0.500, 0.500, 0.000]],
  "m_tot_mub_per_fu": 0.00,
  "dft_energy_ev_per_atom": -3.38,
  "formation_energy_uncorrected_mev_per_atom": -1130,
  "sg": "No. 123",
  "n_ef_per_ev_cell": 2.185
}

[13]
{
  "formula": "Na4Mg2Tl3",
  "functional": "PBE",
  "state": "optimized geometry",
  "cell": [[7.524, -5.704, 0.000], [7.524, 5.704, 0.000], [-0.961, 0.000, 5.779]],
  "species": ["Na", "Na", "Na", "Na", "Na", "Na", "Na", "Na", "Mg", "Mg", "Mg", "Mg", "Tl", "Tl", "Tl", "Tl", "Tl", "Tl"],
  "fractional_positions": [[0.073, 0.814, 0.981], [0.161, 0.397, 0.117], [0.186, 0.927, 0.519], [0.397, 0.161, 0.617], [0.603, 0.839, 0.383], [0.814, 0.073, 0.481], [0.839, 0.603, 0.883], [0.927, 0.186, 0.019], [0.264, 0.521, 0.666], [0.479, 0.736, 0.834], [0.521, 0.264, 0.166], [0.736, 0.479, 0.334], [0.037, 0.310, 0.567], [0.310, 0.037, 0.067], [0.386, 0.614, 0.250], [0.614, 0.386, 0.750], [0.690, 0.963, 0.933], [0.963, 0.690, 0.433]],
  "m_tot_mub_per_fu": 0.00,
  "dft_energy_ev_per_atom": -1.78,
  "sg": "No. 15",
  "n_ef_per_ev_cell": 6.796
}

[14]
{
  "formula": "Nd3SmZn2",
  "functional": "PBE",
  "state": "optimized geometry",
  "cell": [[-3.521, 7.439, 3.647], [3.521, -7.439, 3.647], [3.521, 7.439, -3.647]],
  "species": ["Nd", "Nd", "Nd", "Nd", "Nd", "Nd", "Sm", "Sm", "Zn", "Zn", "Zn", "Zn"],
  "fractional_positions": [[0.024, 0.750, 0.274], [0.250, 0.250, 0.000], [0.476, 0.750, 0.726], [0.524, 0.250, 0.274], [0.750, 0.750, 0.000], [0.976, 0.250, 0.726], [0.000, 0.500, 0.500], [0.500, 0.000, 0.500], [0.137, 0.204, 0.341], [0.363, 0.704, 0.066], [0.637, 0.296, 0.934], [0.863, 0.796, 0.659]],
  "m_tot_mub_per_fu": 0.00,
  "dft_energy_ev_per_atom": -3.54,
  "sg": "No. 72",
  "relative_energy_mev_per_atom": 257,
  "n_ef_per_ev_cell": 21.352
}

[15]
{
  "formula": "CuBrF3",
  "functional": "PBE",
  "state": "optimized geometry",
  "cell": [[4.855, 0.000, 0.000], [0.000, 5.127, 0.000], [-0.036, 0.000, 6.309]],
  "species": ["Cu", "Cu", "Br", "Br", "F", "F", "F", "F", "F", "F"],
  "fractional_positions": [[0.250, 0.000, 0.007], [0.750, 0.500, 0.993], [0.247, 0.750, 0.661], [0.753, 0.250, 0.339], [0.001, 0.746, 0.114], [0.253, 0.212, 0.294], [0.500, 0.246, 0.886], [0.500, 0.746, 0.114], [0.747, 0.712, 0.706], [0.999, 0.246, 0.886]],
  "m_tot_mub_per_fu": 1.44,
  "dft_energy_ev_per_atom": -3.15,
  "formation_energy_uncorrected_mev_per_atom": -877,
  "sg": "No. 4",
  "relative_energy_mev_per_atom": 0,
  "n_ef_per_ev_cell": 6.437
}

[16]
{
  "formula": "Zr12Co6Pb",
  "functional": "PBE",
  "state": "optimized geometry",
  "cell": [[-4.530, 4.530, 4.530], [4.530, -4.530, 4.530], [4.530, 4.530, -4.530]],
  "species": ["Zr", "Zr", "Zr", "Zr", "Zr", "Zr", "Zr", "Zr", "Zr", "Zr", "Zr", "Zr", "Co", "Co", "Co", "Co", "Co", "Co", "Pb"],
  "fractional_positions": [[0.113, 0.812, 0.302], [0.188, 0.302, 0.490], [0.188, 0.698, 0.887], [0.302, 0.113, 0.812], [0.302, 0.490, 0.188], [0.490, 0.188, 0.302], [0.510, 0.812, 0.698], [0.698, 0.510, 0.812], [0.698, 0.887, 0.188], [0.812, 0.302, 0.113], [0.812, 0.698, 0.510], [0.887, 0.188, 0.698], [0.135, 0.635, 0.500], [0.365, 0.500, 0.865], [0.500, 0.135, 0.635], [0.500, 0.865, 0.365], [0.635, 0.500, 0.135], [0.865, 0.365, 0.500], [0.000, 0.000, 0.000]],
  "m_tot_mub_per_fu": 0.00,
  "dft_energy_ev_per_atom": -8.05,
  "sg": "No. 204",
  "n_ef_per_ev_cell": 19.829
}

[17]
{
  "formula": "Zr5TiHg4",
  "functional": "PBE",
  "state": "optimized geometry",
  "cell": [[3.153, 0.000, 0.000], [0.000, 3.153, 0.000], [0.000, 0.000, 21.499]],
  "species": ["Zr", "Zr", "Zr", "Zr", "Zr", "Ti", "Hg", "Hg", "Hg", "Hg"],
  "fractional_positions": [[0.000, 0.000, 0.000], [0.000, 0.000, 0.202], [0.000, 0.000, 0.406], [0.000, 0.000, 0.594], [0.000, 0.000, 0.798], [0.500, 0.500, 0.500], [0.500, 0.500, 0.101], [0.500, 0.500, 0.301], [0.500, 0.500, 0.699], [0.500, 0.500, 0.899]],
  "m_tot_mub_per_fu": 0.03,
  "dft_energy_ev_per_atom": -5.33,
  "sg": "No. 123",
  "n_ef_per_ev_cell": 12.896
}

[18]
{
  "formula": "Nd3Y5Ho3",
  "functional": "PBE",
  "state": "optimized geometry",
  "cell": [[9.726, 0.000, 0.000], [-4.863, 8.423, 0.000], [0.000, 0.000, 5.387]],
  "species": ["Nd", "Nd", "Nd", "Y", "Y", "Y", "Y", "Y", "Ho", "Ho", "Ho"],
  "fractional_positions": [[0.000, 0.631, 0.000], [0.369, 0.369, 0.000], [0.631, 0.000, 0.000], [0.000, 0.258, 0.000], [0.258, 0.000, 0.000], [0.333, 0.667, 0.000], [0.667, 0.333, 0.000], [0.742, 0.742, 0.000], [0.000, 0.455, 0.500], [0.455, 0.000, 0.500], [0.545, 0.545, 0.500]],
  "m_tot_mub_per_fu": 0.00,
  "dft_energy_ev_per_atom": -4.68,
  "sg": "No. 189",
  "relative_energy_mev_per_atom": 28,
  "n_ef_per_ev_cell": 16.018
}

[19]
{
  "formula": "Mg4SnPt",
  "functional": "PBE",
  "state": "optimized geometry",
  "cell": [[3.987, -6.313, 0.000], [3.987, 6.313, 0.000], [-1.730, 0.000, 5.282]],
  "species": ["Mg", "Mg", "Mg", "Mg", "Mg", "Mg", "Mg", "Mg", "Sn", "Sn", "Pt", "Pt"],
  "fractional_positions": [[0.063, 0.721, 0.950], [0.208, 0.361, 0.632], [0.279, 0.937, 0.550], [0.361, 0.208, 0.132], [0.639, 0.792, 0.868], [0.721, 0.063, 0.450], [0.792, 0.639, 0.368], [0.937, 0.279, 0.050], [0.371, 0.629, 0.250], [0.629, 0.371, 0.750], [0.002, 0.998, 0.750], [0.998, 0.002, 0.250]],
  "m_tot_mub_per_fu": 0.00,
  "dft_energy_ev_per_atom": -3.16,
  "sg": "No. 15",
  "relative_energy_mev_per_atom": 0,
  "n_ef_per_ev_cell": 3.948
}

[20]
{
  "formula": "SrAgRu2",
  "functional": "PBE",
  "state": "optimized geometry",
  "cell": [[3.092, 0.000, 0.000], [0.000, 4.856, 0.000], [0.000, 0.000, 5.016]],
  "species": ["Sr", "Ag", "Ru", "Ru"],
  "fractional_positions": [[0.000, 0.000, 0.000], [0.500, 0.500, 0.000], [0.000, 0.500, 0.500], [0.500, 0.000, 0.500]],
  "m_tot_mub_per_fu": 1.41,
  "dft_energy_ev_per_atom": -5.05,
  "sg": "No. 47",
  "relative_energy_mev_per_atom": 471,
  "n_ef_per_ev_cell": 4.750
}